Entry 1:
Density functional theory data (GGA-PBE) for a geometry-optimized Pa3Os structure.

Properties
Energy relative to the lowest polymorph listed for this composition = 0.000 eV per atom
ΔH_f (0 K) = -0.73 eV/f.u.
Theoretical density = 16.6 g/cm3
Magnetic moment = 0.0 μB/cell
N(E_F) = 5.3 states/eV/cell

a b c (Å): 3.282 5.459 5.870
angles (deg): 117.71 106.24 90.00
Fractional coordinates of all 4 atoms:
Pa (0.262, 0.678, 0.523)
Pa (0.500, 0.417, 0.000)
Pa (0.738, 0.155, 0.477)
Os (0.000, 0.917, 0.000)

***

Entry 2:
Density functional theory data (GGA-PBE) for a geometry-optimized Pa4Os structure.

Properties
Energy relative to the lowest polymorph listed for this composition = 0.000 eV per atom
ΔH_f (0 K) = 0.21 eV/f.u.
Theoretical density = 15.5 g/cm3
Magnetic moment = 0.0 μB/cell
N(E_F) = 21.1 states/eV/cell

a b c (Å): 6.575 6.747 6.350
angles (deg): 122.09 90.00 90.00
Fractional coordinates of all 10 atoms:
Pa (0.158, 0.508, 0.733)
Pa (0.158, 0.492, 0.267)
Pa (0.342, 0.008, 0.733)
Pa (0.842, 0.224, 0.733)
Pa (0.658, 0.276, 0.267)
Pa (0.842, 0.776, 0.267)
Pa (0.658, 0.724, 0.733)
Pa (0.342, 0.992, 0.267)
Os (0.000, 0.000, 0.000)
Os (0.500, 0.500, 0.000)

***

Entry 3:
Density functional theory data (GGA-PBE) for a geometry-optimized PaOs4 structure.

Properties
ΔH_f (0 K) = 14.13 eV/f.u.
Theoretical density = 14.7 g/cm3
Magnetic moment = 4.1 μB/cell
N(E_F) = 8.5 states/eV/cell

a b c (Å): 4.824 4.824 4.824
angles (deg): 90.00 90.00 90.00
Fractional coordinates of all 5 atoms:
Pa (0.500, 0.500, 0.500)
Os (0.000, 0.000, 0.000)
Os (0.500, 0.000, 0.500)
Os (0.000, 0.500, 0.500)
Os (0.500, 0.500, 0.000)

***

Entry 4:
Density functional theory data (GGA-PBE) for a geometry-optimized Pa3Os structure.

Properties
Energy relative to the lowest polymorph listed for this composition = 0.294 eV per atom
ΔH_f (0 K) = 0.45 eV/f.u.
Theoretical density = 14.5 g/cm3
Magnetic moment = 0.0 μB/cell
N(E_F) = 7.3 states/eV/cell

a b c (Å): 3.840 3.840 7.376
angles (deg): 105.09 105.09 90.00
Fractional coordinates of all 4 atoms:
Pa (0.500, 0.500, 0.000)
Pa (0.203, 0.203, 0.406)
Pa (0.797, 0.797, 0.594)
Os (0.000, 0.000, 0.000)